# LaDy6Er12 PBE relaxed
data_LaDy6Er12
_chemical_formula_sum 'La1 Dy6 Er12'
_cell_length_a 8.4844
_cell_length_b 8.4844
_cell_length_c 8.4844
_cell_angle_alpha 88.43
_cell_angle_beta 88.43
_cell_angle_gamma 88.43
_symmetry_space_group_name_H-M 'P 1'
_symmetry_Int_Tables_number 1
_symmetry_space_group_name_Hall 'P 1'
loop_
_atom_site_label
_atom_site_fract_x
_atom_site_fract_y
_atom_site_fract_z
La1 0.0000 0.0000 0.0000
Dy1 0.7443 0.9105 0.3179
Dy2 0.6821 0.2557 0.0895
Dy3 0.0895 0.6821 0.2557
Dy4 0.2557 0.0895 0.6821
Dy5 0.3179 0.7443 0.9105
Dy6 0.9105 0.3179 0.7443
Er1 0.7709 0.5464 0.4361
Er2 0.4361 0.7709 0.5464
Er3 0.5464 0.4361 0.7709
Er4 0.2291 0.4536 0.5639
Er5 0.5639 0.2291 0.4536
Er6 0.4536 0.5639 0.2291
Er7 0.0070 0.2170 0.3527
Er8 0.7830 0.6473 0.9930
Er9 0.6473 0.9930 0.7830
Er10 0.9930 0.7830 0.6473
Er11 0.2170 0.3527 0.0070
Er12 0.3527 0.0070 0.2170
# Space group: R-3, No. 148
# Density of states at the Fermi level (states/eV/cell): 30.98
# E_form (kcal/mol of atoms): 3.7
# Relative energy among the computed polymorphs (eV per atom): 0.000

---

# La4DyEr15 PBE relaxed
data_La4DyEr15
_chemical_formula_sum 'La4 Dy1 Er15'
_cell_length_a 5.0470
_cell_length_b 5.0470
_cell_length_c 25.0573
_cell_angle_alpha 90.00
_cell_angle_beta 90.00
_cell_angle_gamma 90.00
_symmetry_space_group_name_H-M 'P 1'
_symmetry_Int_Tables_number 1
_symmetry_space_group_name_Hall 'P 1'
loop_
_atom_site_label
_atom_site_fract_x
_atom_site_fract_y
_atom_site_fract_z
La1 0.0000 0.0000 0.1997
La2 0.0000 0.0000 0.3995
La3 0.0000 0.0000 0.6005
La4 0.0000 0.0000 0.8003
Dy1 0.0000 0.0000 0.0000
Er1 0.5000 0.5000 0.0000
Er2 0.5000 0.5000 0.1983
Er3 0.5000 0.5000 0.3997
Er4 0.5000 0.5000 0.6003
Er5 0.5000 0.5000 0.8017
Er6 0.5000 0.0000 0.0974
Er7 0.5000 0.0000 0.2990
Er8 0.5000 0.0000 0.5000
Er9 0.5000 0.0000 0.7010
Er10 0.5000 0.0000 0.9026
Er11 0.0000 0.5000 0.0974
Er12 0.0000 0.5000 0.2990
Er13 0.0000 0.5000 0.5000
Er14 0.0000 0.5000 0.7010
Er15 0.0000 0.5000 0.9026
# Space group: P4/mmm, No. 123
# Density of states at the Fermi level (states/eV/cell): 30.84
# E_form (kcal/mol of atoms): 0.8

---

# La5Dy5Er2 PBE relaxed
data_La5Dy5Er2
_chemical_formula_sum 'La5 Dy5 Er2'
_cell_length_a 5.1247
_cell_length_b 10.8181
_cell_length_c 8.1443
_cell_angle_alpha 98.78
_cell_angle_beta 71.66
_cell_angle_gamma 76.30
_symmetry_space_group_name_H-M 'P 1'
_symmetry_Int_Tables_number 1
_symmetry_space_group_name_Hall 'P 1'
loop_
_atom_site_label
_atom_site_fract_x
_atom_site_fract_y
_atom_site_fract_z
La1 0.6663 0.2531 0.4143
La2 0.9953 0.2532 0.7561
La3 0.0047 0.7468 0.2439
La4 0.3337 0.7469 0.5857
La5 0.0000 0.0000 0.0000
Dy1 0.0000 0.5000 0.5000
Dy2 0.6694 0.7453 0.9159
Dy3 0.3325 0.0002 0.3349
Dy4 0.6675 0.9998 0.6651
Dy5 0.3306 0.2547 0.0841
Er1 0.3320 0.5008 0.8352
Er2 0.6680 0.4992 0.1648
# Space group: C2/m, No. 12
# Density of states at the Fermi level (states/eV/cell): 19.22
# E_form (kcal/mol of atoms): 0.7

---

# LaDy3Er12 PBE relaxed
data_LaDy3Er12
_chemical_formula_sum 'La1 Dy3 Er12'
_cell_length_a 4.9905
_cell_length_b 4.9905
_cell_length_c 19.9880
_cell_angle_alpha 90.00
_cell_angle_beta 90.00
_cell_angle_gamma 90.00
_symmetry_space_group_name_H-M 'P 1'
_symmetry_Int_Tables_number 1
_symmetry_space_group_name_Hall 'P 1'
loop_
_atom_site_label
_atom_site_fract_x
_atom_site_fract_y
_atom_site_fract_z
La1 0.0000 0.0000 0.0000
Dy1 0.0000 0.0000 0.2512
Dy2 0.0000 0.0000 0.5000
Dy3 0.0000 0.0000 0.7488
Er1 0.5000 0.5000 0.0000
Er2 0.5000 0.5000 0.2524
Er3 0.5000 0.5000 0.5000
Er4 0.5000 0.5000 0.7476
Er5 0.5000 0.0000 0.1282
Er6 0.5000 0.0000 0.3759
Er7 0.5000 0.0000 0.6241
Er8 0.5000 0.0000 0.8718
Er9 0.0000 0.5000 0.1282
Er10 0.0000 0.5000 0.3759
Er11 0.0000 0.5000 0.6241
Er12 0.0000 0.5000 0.8718
# Space group: P4/mmm, No. 123
# Density of states at the Fermi level (states/eV/cell): 21.99
# E_form (kcal/mol of atoms): 0.6

---

# La5Dy2Er12 PBE relaxed
data_La5Dy2Er12
_chemical_formula_sum 'La5 Dy2 Er12'
_cell_length_a 6.2949
_cell_length_b 10.7951
_cell_length_c 13.9220
_cell_angle_alpha 124.12
_cell_angle_beta 85.43
_cell_angle_gamma 123.07
_symmetry_space_group_name_H-M 'P 1'
_symmetry_Int_Tables_number 1
_symmetry_space_group_name_Hall 'P 1'
loop_
_atom_site_label
_atom_site_fract_x
_atom_site_fract_y
_atom_site_fract_z
La1 0.2372 0.5079 0.5582
La2 0.5445 0.6686 0.1560
La3 0.0000 0.0000 0.5000
La4 0.4555 0.3314 0.8440
La5 0.7628 0.4921 0.4418
Dy1 0.7031 0.1595 0.1534
Dy2 0.2969 0.8405 0.8466
Er1 0.1209 0.1093 0.2661
Er2 0.1319 0.7333 0.0558
Er3 0.7161 0.7891 0.9502
Er4 0.9576 0.6032 0.2447
Er5 0.3566 0.5447 0.3391
Er6 0.4390 0.9383 0.6167
Er7 0.5610 0.0617 0.3833
Er8 0.0424 0.3968 0.7553
Er9 0.6434 0.4553 0.6609
Er10 0.8681 0.2667 0.9442
Er11 0.2839 0.2109 0.0498
Er12 0.8791 0.8907 0.7339
# Space group: P-1, No. 2
# Density of states at the Fermi level (states/eV/cell): 29.43
# E_form (kcal/mol of atoms): 1.5

---

# La4Dy2Er PBE relaxed
data_La4Dy2Er
_chemical_formula_sum 'La8 Dy4 Er2'
_cell_length_a 12.7472
_cell_length_b 12.7472
_cell_length_c 6.8763
_cell_angle_alpha 97.00
_cell_angle_beta 96.99
_cell_angle_gamma 150.29
_symmetry_space_group_name_H-M 'P 1'
_symmetry_Int_Tables_number 1
_symmetry_space_group_name_Hall 'P 1'
loop_
_atom_site_label
_atom_site_fract_x
_atom_site_fract_y
_atom_site_fract_z
Er1 0.4165 0.6665 0.5002
Er2 0.6665 0.4165 0.0002
Dy1 0.6280 0.3120 0.4576
Dy2 0.9203 0.1043 0.0422
Dy3 0.1043 0.9203 0.5422
Dy4 0.3120 0.6280 0.9576
La1 0.7088 0.1708 0.8590
La2 0.1708 0.7088 0.3590
La3 0.1907 0.7983 0.9042
La4 0.7983 0.1907 0.4042
La5 0.0376 0.1449 0.5956
La6 0.5621 0.6004 0.1427
La7 0.6004 0.5621 0.6427
La8 0.1449 0.0376 0.0956
# Space group: Fdd2, No. 43
# Density of states at the Fermi level (states/eV/cell): 24.42
# E_form (kcal/mol of atoms): 1.6
# Relative energy among the computed polymorphs (eV per atom): 0.000

---

# La3DyEr PBE relaxed
data_La3DyEr
_chemical_formula_sum 'La12 Dy4 Er4'
_cell_length_a 3.6063
_cell_length_b 11.1291
_cell_length_c 17.7318
_cell_angle_alpha 90.00
_cell_angle_beta 90.00
_cell_angle_gamma 90.00
_symmetry_space_group_name_H-M 'P 1'
_symmetry_Int_Tables_number 1
_symmetry_space_group_name_Hall 'P 1'
loop_
_atom_site_label
_atom_site_fract_x
_atom_site_fract_y
_atom_site_fract_z
La1 0.7385 0.5000 0.7500
La2 0.2615 0.0000 0.2500
La3 0.2615 0.5000 0.2500
La4 0.7385 0.0000 0.7500
La5 0.2437 0.5583 0.9246
La6 0.2437 0.4417 0.5754
La7 0.7563 0.0583 0.0754
La8 0.7563 0.9417 0.4246
La9 0.2437 0.0583 0.5754
La10 0.2437 0.9417 0.9246
La11 0.7563 0.5583 0.4246
La12 0.7563 0.4417 0.0754
Dy1 0.7344 0.2500 0.8970
Dy2 0.7344 0.7500 0.6030
Dy3 0.2656 0.7500 0.1030
Dy4 0.2656 0.2500 0.3970
Er1 0.7654 0.2500 0.2265
Er2 0.7654 0.7500 0.2735
Er3 0.2346 0.7500 0.7735
Er4 0.2346 0.2500 0.7265
# Space group: Pbcm, No. 57
# Density of states at the Fermi level (states/eV/cell): 30.75
# E_form (kcal/mol of atoms): 3.5

---

# La2Dy3Er7 PBE relaxed
data_La2Dy3Er7
_chemical_formula_sum 'La2 Dy3 Er7'
_cell_length_a 3.6057
_cell_length_b 5.6725
_cell_length_c 19.1948
_cell_angle_alpha 98.50
_cell_angle_beta 90.00
_cell_angle_gamma 90.00
_symmetry_space_group_name_H-M 'P 1'
_symmetry_Int_Tables_number 1
_symmetry_space_group_name_Hall 'P 1'
loop_
_atom_site_label
_atom_site_fract_x
_atom_site_fract_y
_atom_site_fract_z
La1 0.0000 0.8531 0.7062
La2 0.0000 0.1469 0.2938
Dy1 0.5000 0.5000 0.0000
Dy2 0.5000 0.6876 0.3752
Dy3 0.5000 0.3124 0.6248
Er1 0.0000 0.4124 0.8248
Er2 0.0000 0.7695 0.5390
Er3 0.0000 0.0000 0.0000
Er4 0.0000 0.5876 0.1752
Er5 0.5000 0.0698 0.1396
Er6 0.5000 0.9302 0.8604
Er7 0.0000 0.2305 0.4610
# Space group: Cmmm, No. 65
# Density of states at the Fermi level (states/eV/cell): 17.75
# E_form (kcal/mol of atoms): 2.8
# Relative energy among the computed polymorphs (eV per atom): 0.034

---

# La2Dy3Er6 PBE relaxed
data_La2Dy3Er6
_chemical_formula_sum 'La2 Dy3 Er6'
_cell_length_a 6.0854
_cell_length_b 6.0879
_cell_length_c 11.7538
_cell_angle_alpha 85.04
_cell_angle_beta 80.04
_cell_angle_gamma 60.01
_symmetry_space_group_name_H-M 'P 1'
_symmetry_Int_Tables_number 1
_symmetry_space_group_name_Hall 'P 1'
loop_
_atom_site_label
_atom_site_fract_x
_atom_site_fract_y
_atom_site_fract_z
La1 0.1674 0.6653 0.5000
La2 0.8326 0.3347 0.5000
Dy1 0.0000 0.0000 0.0000
Dy2 0.3350 0.3300 0.0000
Dy3 0.6650 0.6700 0.0000
Er1 0.4147 0.6667 0.7556
Er2 0.7480 0.0000 0.7557
Er3 0.0815 0.3333 0.7556
Er4 0.2520 0.0000 0.2443
Er5 0.5853 0.3333 0.2444
Er6 0.9185 0.6667 0.2444
# Space group: C2/m, No. 12
# Density of states at the Fermi level (states/eV/cell): 17.45
# E_form (kcal/mol of atoms): 4.2

---

# La4Dy7Er PBE relaxed
data_La4Dy7Er
_chemical_formula_sum 'La4 Dy7 Er1'
_cell_length_a 5.9498
_cell_length_b 11.9384
_cell_length_c 6.7351
_cell_angle_alpha 85.35
_cell_angle_beta 63.79
_cell_angle_gamma 75.57
_symmetry_space_group_name_H-M 'P 1'
_symmetry_Int_Tables_number 1
_symmetry_space_group_name_Hall 'P 1'
loop_
_atom_site_label
_atom_site_fract_x
_atom_site_fract_y
_atom_site_fract_z
La1 0.6407 0.2248 0.4939
La2 0.3593 0.7752 0.5061
La3 0.6982 0.7108 0.8928
La4 0.3018 0.2892 0.1072
Dy1 0.7935 0.9173 0.4957
Dy2 0.2065 0.0827 0.5043
Dy3 0.0349 0.6307 0.2996
Dy4 0.9651 0.3693 0.7004
Dy5 0.3549 0.5122 0.7780
Dy6 0.5000 0.0000 0.0000
Dy7 0.6451 0.4878 0.2220
Er1 0.0000 0.0000 0.0000
# Space group: C2/m, No. 12
# Density of states at the Fermi level (states/eV/cell): 19.66
# E_form (kcal/mol of atoms): 6.3

---

# LaDy2Er8 PBE relaxed
data_LaDy2Er8
_chemical_formula_sum 'La1 Dy2 Er8'
_cell_length_a 5.4499
_cell_length_b 8.0964
_cell_length_c 9.3410
_cell_angle_alpha 115.69
_cell_angle_beta 106.96
_cell_angle_gamma 90.00
_symmetry_space_group_name_H-M 'P 1'
_symmetry_Int_Tables_number 1
_symmetry_space_group_name_Hall 'P 1'
loop_
_atom_site_label
_atom_site_fract_x
_atom_site_fract_y
_atom_site_fract_z
La1 0.5000 0.0000 0.0000
Dy1 0.1991 0.6991 0.3982
Dy2 0.8009 0.3009 0.6018
Er1 0.6418 0.8481 0.2835
Er2 0.3583 0.5645 0.7165
Er3 0.1632 0.1633 0.3264
Er4 0.0000 0.2959 0.0000
Er5 0.8368 0.8367 0.6736
Er6 0.6417 0.4355 0.2835
Er7 0.3582 0.1519 0.7165
Er8 0.0000 0.7041 0.0000
# Space group: Immm, No. 71
# Density of states at the Fermi level (states/eV/cell): 15.61
# E_form (kcal/mol of atoms): 2.8
# Relative energy among the computed polymorphs (eV per atom): 0.000

---

# La2DyEr2 PBE relaxed
data_La2DyEr2
_chemical_formula_sum 'La4 Dy2 Er4'
_cell_length_a 8.9035
_cell_length_b 6.5328
_cell_length_c 6.5328
_cell_angle_alpha 95.26
_cell_angle_beta 105.34
_cell_angle_gamma 105.34
_symmetry_space_group_name_H-M 'P 1'
_symmetry_Int_Tables_number 1
_symmetry_space_group_name_Hall 'P 1'
loop_
_atom_site_label
_atom_site_fract_x
_atom_site_fract_y
_atom_site_fract_z
La1 0.1401 0.2477 0.0734
La2 0.8599 0.7523 0.9266
La3 0.3599 0.9266 0.7523
La4 0.6401 0.0734 0.2477
Dy1 0.2500 0.7921 0.2079
Dy2 0.7500 0.2079 0.7921
Er1 0.0000 0.5000 0.5000
Er2 0.0000 0.0000 0.5000
Er3 0.5000 0.5000 0.5000
Er4 0.5000 0.5000 0.0000
# Space group: C2/c, No. 15
# Density of states at the Fermi level (states/eV/cell): 16.32
# E_form (kcal/mol of atoms): 5.6
# Relative energy among the computed polymorphs (eV per atom): 0.215

---

Number 1: E -4.435 eV/atom. Number 2: E -4.603 eV/atom. Number 3: E -4.701 eV/atom. Number 4: E -4.567 eV/atom. Number 5: E -4.597 eV/atom. Number 6: E -4.712 eV/atom. Number 7: E -4.636 eV/atom. Number 8: E -4.510 eV/atom. Number 9: E -4.456 eV/atom. Number 10: E -4.436 eV/atom. Number 11: E -4.481 eV/atom. Number 12: E -4.475 eV/atom.